(1)
CeTl3, optimized geometry, DFT GGA-PBEsol; space-group type = Pm-3m, No. 221; uncorrected energy = -15.543 eV/cell; DOS(E_F) = 6.73 states/eV/f.u.
1.0
4.704 0.000 0.000
0.000 4.704 0.000
0.000 0.000 4.704
Ce Tl
1 3
Direct
0.000 0.000 0.000
0.000 0.500 0.500
0.500 0.000 0.500
0.500 0.500 0.000

=====

(2)
CeYTl2, optimized geometry, DFT GGA-PBEsol; space-group type = Fm-3m, No. 225; uncorrected energy = -79.946 eV/cell; DOS(E_F) = 8.78 states/eV/f.u.
1.0
7.546 0.000 0.000
0.000 7.546 0.000
0.000 0.000 7.546
Ce Y Tl
4 4 8
Direct
0.000 0.000 0.000
0.000 0.500 0.500
0.500 0.000 0.500
0.500 0.500 0.000
0.000 0.000 0.500
0.000 0.500 0.000
0.500 0.000 0.000
0.500 0.500 0.500
0.250 0.250 0.250
0.250 0.250 0.750
0.250 0.750 0.250
0.250 0.750 0.750
0.750 0.250 0.250
0.750 0.250 0.750
0.750 0.750 0.250
0.750 0.750 0.750

=====

(3)
CeTlZn, optimized geometry, DFT GGA-PBEsol; space-group type = P6_3/mmc, No. 194; uncorrected energy = -22.906 eV/cell; DOS(E_F) = 5.75 states/eV/f.u.
1.0
4.848 0.000 0.000
-2.424 4.199 0.000
0.000 0.000 6.610
Ce Tl Zn
2 2 2
Direct
0.000 0.000 0.000
0.000 0.000 0.500
0.333 0.667 0.250
0.667 0.333 0.750
0.333 0.667 0.750
0.667 0.333 0.250

=====

(4)
CeTm3, optimized geometry, DFT GGA-PBEsol; space-group type = I4/mmm, No. 139; uncorrected energy = -41.713 eV/cell; DOS(E_F) = 8.29 states/eV/f.u.
1.0
4.850 0.000 0.000
0.000 4.850 0.000
0.000 0.000 9.626
Ce Tm
2 6
Direct
0.000 0.000 0.000
0.500 0.500 0.500
0.000 0.000 0.500
0.000 0.500 0.250
0.000 0.500 0.750
0.500 0.000 0.250
0.500 0.000 0.750
0.500 0.500 0.000

=====

(5)
CeUZn17, optimized geometry, DFT GGA-PBEsol; space-group type = R3m, No. 160; uncorrected energy = -48.147 eV/cell; DOS(E_F) = 15.68 states/eV/f.u.
1.0
4.410 2.546 4.314
-4.410 2.546 4.314
0.000 -5.092 4.314
Ce U Zn
1 1 17
Direct
0.000 0.000 0.000
0.325 0.325 0.325
0.016 0.016 0.500
0.016 0.500 0.016
0.162 0.662 0.662
0.311 0.311 0.819
0.311 0.819 0.311
0.367 0.661 0.958
0.367 0.958 0.661
0.500 0.016 0.016
0.561 0.561 0.561
0.661 0.367 0.958
0.661 0.958 0.367
0.662 0.162 0.662
0.662 0.662 0.162
0.761 0.761 0.761
0.819 0.311 0.311
0.958 0.367 0.661
0.958 0.661 0.367

=====

(6)
CeZn5, optimized geometry, DFT GGA-PBEsol; space-group type = P6/mmm, No. 191; uncorrected energy = -15.949 eV/cell; DOS(E_F) = 6.23 states/eV/f.u.
1.0
5.260 0.000 0.000
-2.630 4.555 0.000
0.000 0.000 4.189
Ce Zn
1 5
Direct
0.000 0.000 0.000
0.000 0.500 0.500
0.333 0.667 0.000
0.500 0.000 0.500
0.500 0.500 0.500
0.667 0.333 0.000

=====

(7)
CeZn11, optimized geometry, DFT GGA-PBEsol; space-group type = I4_1/amd, No. 141; uncorrected energy = -52.776 eV/cell; DOS(E_F) = 8.41 states/eV/f.u.
1.0
-5.189 5.189 3.380
5.189 -5.189 3.380
5.189 5.189 -3.380
Ce Zn
2 22
Direct
0.375 0.625 0.750
0.625 0.375 0.250
0.000 0.000 0.000
0.000 0.000 0.500
0.000 0.500 0.000
0.125 0.875 0.250
0.132 0.555 0.334
0.132 0.798 0.577
0.202 0.279 0.334
0.202 0.868 0.923
0.279 0.202 0.834
0.279 0.445 0.077
0.445 0.279 0.577
0.445 0.868 0.166
0.500 0.000 0.500
0.555 0.132 0.834
0.555 0.721 0.423
0.721 0.555 0.923
0.721 0.798 0.166
0.798 0.132 0.077
0.798 0.721 0.666
0.868 0.202 0.423
0.868 0.445 0.666
0.875 0.125 0.750

=====

(8)
Ce3Zn22, optimized geometry, DFT GGA-PBEsol; space-group type = I4_1/amd, No. 141; uncorrected energy = -121.234 eV/cell; DOS(E_F) = 18.82 states/eV/f.u.
1.0
-4.353 4.353 10.401
4.353 -4.353 10.401
4.353 4.353 -10.401
Ce Zn
6 44
Direct
0.125 0.875 0.250
0.253 0.503 0.750
0.497 0.747 0.750
0.503 0.253 0.250
0.747 0.497 0.250
0.875 0.125 0.750
0.000 0.000 0.000
0.000 0.000 0.500
0.000 0.500 0.000
0.042 0.320 0.239
0.042 0.802 0.722
0.117 0.219 0.602
0.117 0.514 0.898
0.140 0.737 0.403
0.152 0.624 0.529
0.165 0.263 0.903
0.198 0.420 0.239
0.198 0.958 0.778
0.219 0.117 0.102
0.263 0.165 0.403
0.263 0.860 0.097
0.320 0.042 0.739
0.320 0.580 0.278
0.376 0.405 0.529
0.376 0.848 0.971
0.405 0.376 0.029
0.420 0.198 0.739
0.420 0.680 0.222
0.486 0.883 0.602
0.500 0.000 0.500
0.514 0.117 0.398
0.580 0.320 0.778
0.580 0.802 0.261
0.595 0.624 0.971
0.624 0.152 0.029
0.624 0.595 0.471
0.680 0.420 0.722
0.680 0.958 0.261
0.737 0.140 0.903
0.737 0.835 0.597
0.781 0.883 0.898
0.802 0.042 0.222
0.802 0.580 0.761
0.835 0.737 0.097
0.848 0.376 0.471
0.860 0.263 0.597
0.883 0.486 0.102
0.883 0.781 0.398
0.958 0.198 0.278
0.958 0.680 0.761

=====

(9)
Ce3Zn, optimized geometry, DFT GGA-PBEsol; space-group type = I4/mmm, No. 139; uncorrected energy = -42.933 eV/cell; DOS(E_F) = 10.28 states/eV/f.u.
1.0
4.452 0.000 0.000
0.000 4.452 0.000
0.000 0.000 9.048
Ce Zn
6 2
Direct
0.000 0.000 0.000
0.000 0.500 0.250
0.000 0.500 0.750
0.500 0.000 0.250
0.500 0.000 0.750
0.500 0.500 0.500
0.000 0.000 0.500
0.500 0.500 0.000

=====

(10)
Co3Cl, optimized geometry, DFT GGA-PBEsol; space-group type = Cmcm, No. 63; excess energy over the best structure of this formula in the dataset = 0.2828 eV per atom; formation energy from raw total energies = 53 kJ per mole of atoms; DOS(E_F) = 3.83 states/eV/f.u.
1.0
6.724 0.000 0.000
0.000 7.475 0.000
0.000 0.000 3.888
Co Cl
12 4
Direct
0.000 0.204 0.250
0.000 0.796 0.750
0.186 0.086 0.750
0.186 0.914 0.250
0.314 0.414 0.250
0.314 0.586 0.750
0.500 0.296 0.750
0.500 0.704 0.250
0.686 0.414 0.250
0.686 0.586 0.750
0.814 0.086 0.750
0.814 0.914 0.250
0.000 0.358 0.750
0.000 0.642 0.250
0.500 0.142 0.250
0.500 0.858 0.750

=====

(11)
CoCl3, optimized geometry, DFT GGA-PBEsol; space-group type = Fm-3m, No. 225; formation energy from raw total energies = 52 kJ per mole of atoms; DOS(E_F) = 7.30 states/eV/f.u.
1.0
6.498 0.000 0.000
0.000 6.498 0.000
0.000 0.000 6.498
Co Cl
4 12
Direct
0.000 0.000 0.000
0.000 0.500 0.500
0.500 0.000 0.500
0.500 0.500 0.000
0.000 0.000 0.500
0.000 0.500 0.000
0.250 0.250 0.250
0.250 0.250 0.750
0.250 0.750 0.250
0.250 0.750 0.750
0.500 0.000 0.000
0.500 0.500 0.500
0.750 0.250 0.250
0.750 0.250 0.750
0.750 0.750 0.250
0.750 0.750 0.750

=====

(12)
CoCl2, optimized geometry, DFT GGA-PBEsol; space-group type = R-3m, No. 166; formation energy from raw total energies = -49 kJ per mole of atoms; DOS(E_F) = 4.97 states/eV/f.u.
1.0
3.406 0.000 0.000
-1.703 2.950 0.000
0.000 0.000 18.195
Co Cl
3 6
Direct
0.000 0.000 0.000
0.333 0.667 0.667
0.667 0.333 0.333
0.000 0.000 0.260
0.000 0.000 0.740
0.333 0.667 0.407
0.333 0.667 0.926
0.667 0.333 0.074
0.667 0.333 0.593

=====

Look up the DOS(E_F) of the seventh one. 8.41 states/eV/f.u.